Below is a relaxed YAg2WF crystal, with properties calculated at the PBE+U level.

```
YAg2WF
1.0
5.443 0.000 0.000
0.000 4.102 0.000
0.000 0.000 5.443
Y Ag F W
1 2 1 1
direct
0.500 0.500 0.500
0.000 0.000 0.500
0.500 0.000 0.000
0.000 0.500 0.000
0.000 0.000 0.000
```

Values from the calculation:
- Space group: No. 123
- Final energy: -21.56 eV for the cell shown